Computed, not measured: a relaxed U4MnGa12 crystal at the PBE-GGA level of DFT.

The structure in extended XYZ format:
```
17
Lattice="-4.2869 4.2869 4.2869 4.2869 -4.2869 4.2869 4.2869 4.2869 -4.2869" Properties=species:S:1:pos:R:3 pbc="T T T"
U 2.1435 2.1435 -2.1435
U 2.1435 -2.1435 2.1435
U -2.1435 2.1435 2.1435
U 2.1435 2.1435 2.1435
Mn 0.0000 0.0000 0.0000
Ga 2.4774 0.0000 0.0000
Ga 6.0965 0.0000 0.0000
Ga 4.2869 2.1435 0.0000
Ga 4.2869 0.0000 2.1435
Ga 0.0000 2.4774 0.0000
Ga 0.0000 0.0000 2.4774
Ga 2.1435 4.2869 0.0000
Ga 2.1435 0.0000 4.2869
Ga 0.0000 6.0965 0.0000
Ga 0.0000 0.0000 6.0965
Ga 0.0000 4.2869 2.1435
Ga 0.0000 2.1435 4.2869
```

Magnetic moment   0.392 μB/atom

---

Computed, not measured: a relaxed MnV3Ga crystal at the PBE-GGA level of DFT.

The structure in extended XYZ format:
```
10
Lattice="-2.3229 4.6079 3.2248 2.3229 -4.6079 3.2248 2.3229 4.6079 -3.2248" Properties=species:S:1:pos:R:3 pbc="T T T"
Mn 0.0000 2.3040 0.7297
Mn 2.3229 2.3040 2.4951
V 1.1614 2.3040 -1.6124
V 1.1614 -2.3040 1.6124
V 2.3229 0.9631 0.7218
V 0.0000 0.9631 2.5030
V 2.3229 3.6448 0.7218
V 0.0000 3.6448 2.5030
Ga 0.0000 0.0000 0.0000
Ga 0.0000 4.6079 0.0000
```

Offset from the most stable computed form   94.3 kJ/mol of formula units
Magnetic moment   0.000 μB/atom

---

Number 1: DOS at the Fermi energy 26.7 states/eV per cell, energy -5.56 eV per atom, calculated density 9.7 g/cm³. Number 2: DOS at the Fermi energy 9.1 states/eV per cell, energy -7.86 eV per atom, calculated density 6.7 g/cm³.